## 1
Density functional theory data (PBE) for a relaxed structure of BaPr2S4.

a b c (Å): 7.719 7.719 7.719
angles (deg): 109.49 109.49 109.43
Positions (direct):
Ba 0.000 0.000 0.000
Ba 0.750 0.250 0.500
Pr 0.254 0.125 0.629
Pr 0.375 0.746 0.871
Pr 0.496 0.625 0.371
Pr 0.875 0.504 0.129
S 0.142 0.396 0.409
S 0.146 0.392 0.909
S 0.267 0.858 0.254
S 0.483 0.237 0.091
S 0.604 0.013 0.746
S 0.608 0.517 0.754
S 0.763 0.854 0.246
S 0.987 0.733 0.591

As for the space-group type: I-42d, No. 122. The crystal system is tetragonal. The magnetic moment is 0.00 μB/cell.


## 2
Density functional theory data (PBE) for a relaxed structure of BaPr2S4.

a b c (Å): 7.207 7.207 14.012
angles (deg): 90.00 90.00 146.19
Positions (direct):
Ba 0.112 0.888 0.750
Ba 0.888 0.112 0.250
Pr 0.366 0.634 0.569
Pr 0.366 0.634 0.931
Pr 0.634 0.366 0.069
Pr 0.634 0.366 0.431
S 0.000 0.000 0.000
S 0.000 0.000 0.500
S 0.267 0.733 0.113
S 0.267 0.733 0.387
S 0.448 0.552 0.750
S 0.552 0.448 0.250
S 0.733 0.267 0.613
S 0.733 0.267 0.887

As for the space-group type: Cmcm, No. 63. The crystal system is orthorhombic. The magnetic moment is 0.00 μB/cell.


It is 2 that is the most stable of them.